A plane-wave DFT calculation with GGA-PBE was carried out for a relaxed LiTb2Ag crystal.

excess energy over the best structure of this formula in the dataset	0	meV/atom
formation energy from the elements	-102	meV per atom
DOS(E_F)	3.28	states/eV per cell

```
LiTb2Ag
1.0
5.150 0.000 0.000
0.000 5.150 0.000
0.000 0.000 3.709
Li Tb Ag
1 2 1
direct
0.000 0.000 0.000 Li
0.000 0.500 0.500 Tb
0.500 0.000 0.500 Tb
0.500 0.500 0.000 Ag
```